Material: CuMoOF2
Method: DFT, PBEsol
State: optimized geometry

The uncorrected formation energy comes out at -1050.7 meV/atom. The total DFT energy (no corrections) comes out at -6.09 eV per atom.

It has space group P4/mmm (No. 123), with a = 4.1212 Å, b = 4.1212 Å, c = 3.7720 Å, α = 90.00°, β = 90.00° and γ = 90.00°. The inequivalent atoms are Cu at (0.0000, 0.0000, 0.0000), Mo at (0.5000, 0.5000, 0.5000), O at (0.5000, 0.5000, 0.0000) and F at (0.0000, 0.5000, 0.5000).